Below is a relaxed MnIrCl6 crystal, with properties calculated at the PBE-GGA level.

POSCAR file:
```
MnIrCl6
1.0
6.714 -0.492 -1.074
-3.944 5.456 -1.074
0.022 0.039 6.075
Ir Cl Mn
1 6 1
Cartesian
1.396 2.501 1.963 Ir
0.752 1.347 3.891 Cl
3.504 2.944 2.933 Cl
2.126 0.474 0.994 Cl
0.666 4.528 2.933 Cl
2.040 3.656 0.035 Cl
-0.713 2.058 0.994 Cl
0.000 0.000 0.000 Mn
```

Calculated values
* M_tot: 4.9 Bohr magnetons per cell
* formation energy from raw total energies: -633.3 meV/atom
* density of states at the Fermi level: 0.8589 states/eV per atom
* crystal system: monoclinic